Record 1
VASP calculation (PBE) on a relaxed structure of Re2HgSb.

For the raw formation energy, the calculation gives 0.971 eV per atom. As for the energy above the lowest structure with this stoichiometry: 623 meV/atom. The total moment comes out at 0.00 μB/cell. The density of states at the Fermi level is 16.5 states/eV/cell.

a b c (Å): 6.5451 6.5451 6.5451
angles (deg): 90.00 90.00 90.00
Space group Fm-3m (No. 225)
One atom of each set of equivalent atoms:
Re 0.2500 0.2500 0.2500 [8 per cell]
Hg 0.0000 0.0000 0.0000 [4 per cell]
Sb 0.0000 0.0000 0.5000 [4 per cell]


Record 2
VASP calculation (PBE) on a relaxed structure of TbHfFeRu.

For the electronic total energy, the calculation gives -8.32 eV/atom. The total moment comes out at 0.98 μB/cell. The density of states at the Fermi level is 15.5 states/eV/cell.

a b c (Å): 6.5632 6.5632 6.5632
angles (deg): 90.00 90.00 90.00
Space group F-43m (No. 216)
One atom of each set of equivalent atoms:
Tb 0.0000 0.0000 0.0000 [4 per cell]
Hf 0.0000 0.0000 0.5000 [4 per cell]
Fe 0.2500 0.2500 0.7500 [4 per cell]
Ru 0.2500 0.2500 0.2500 [4 per cell]


Record 3
VASP calculation (PBE) on a relaxed structure of Th5As4S.

For the raw formation energy, the calculation gives -1.474 eV per atom. The total moment comes out at 0.00 μB/cell. The density of states at the Fermi level is 15.5 states/eV/cell.

a b c (Å): 4.2237 5.9665 21.0029
angles (deg): 90.00 90.00 90.00
Space group Immm (No. 71)
One atom of each set of equivalent atoms:
Th 0.0000 0.0000 0.0000 [2 per cell]
Th 0.0000 0.0000 0.2004 [4 per cell]
Th 0.0000 0.0000 0.4041 [4 per cell]
As 0.0000 0.5000 0.1977 [4 per cell]
As 0.0000 0.5000 0.3998 [4 per cell]
S 0.0000 0.5000 0.0000 [2 per cell]


Record 4
VASP calculation (PBE) on a relaxed structure of NdDyY2Ho6.

For the electronic total energy, the calculation gives -4.85 eV/atom. The total moment comes out at 0.00 μB/cell. The density of states at the Fermi level is 61.0 states/eV/cell.

a b c (Å): 9.1919 14.9865 9.4057
angles (deg): 90.00 95.61 90.00
Space group C2/c (No. 15)
One atom of each set of equivalent atoms:
Nd 0.0000 0.0320 0.2500 [4 per cell]
Dy 0.0000 0.4104 0.7500 [4 per cell]
Y 0.2478 0.4490 0.4501 [8 per cell]
Ho 0.0618 0.1824 0.9416 [8 per cell]
Ho 0.0952 0.3867 0.1149 [8 per cell]
Ho 0.2124 0.2265 0.3174 [8 per cell]


Record 5
VASP calculation (PBE) on a relaxed structure of SiB2.

For the raw formation energy, the calculation gives 0.741 eV per atom. As for the energy above the lowest structure with this stoichiometry: 550 meV/atom. The total moment comes out at 0.00 μB/cell. The density of states at the Fermi level is 1.0 states/eV/cell.

a b c (Å): 2.4054 3.3892 4.6431
angles (deg): 108.04 90.60 110.26
Space group P1 (No. 1)
One atom of each set of equivalent atoms:
Si 0.0000 0.0000 0.0000 [1 per cell]
B 0.3265 0.6619 0.2338 [1 per cell]
B 0.4177 0.8314 0.6067 [1 per cell]


Record 6
VASP calculation (PBE) on a relaxed structure of YBeAs2Se.

For the raw formation energy, the calculation gives -0.311 eV per atom. As for the energy above the lowest structure with this stoichiometry: 0 meV/atom. The total moment comes out at 0.00 μB/cell. The density of states at the Fermi level is 3.2 states/eV/cell.

a b c (Å): 4.3018 4.3018 5.6155
angles (deg): 90.00 90.00 90.00
Space group P4/mmm (No. 123)
One atom of each set of equivalent atoms:
Y 0.0000 0.0000 0.0000 [1 per cell]
Be 0.5000 0.5000 0.5000 [1 per cell]
As 0.0000 0.5000 0.5000 [2 per cell]
Se 0.5000 0.5000 0.0000 [1 per cell]


Record 7
VASP calculation (PBE) on a relaxed structure of Na2BiPbS4.

For the raw formation energy, the calculation gives -0.672 eV per atom. The total moment comes out at 0.00 μB/cell. The density of states at the Fermi level is 13.3 states/eV/cell.

a b c (Å): 8.1462 8.1930 11.5925
angles (deg): 90.00 90.00 90.00
Space group Imma (No. 74)
One atom of each set of equivalent atoms:
Na 0.0000 0.0000 0.0000 [4 per cell]
Na 0.2500 0.2500 0.2500 [4 per cell]
Bi 0.0000 0.0000 0.5000 [4 per cell]
Pb 0.2500 0.2500 0.7500 [4 per cell]
S 0.0000 0.0037 0.7457 [8 per cell]
S 0.2431 0.2500 0.5021 [8 per cell]


Record 8
VASP calculation (PBE) on a relaxed structure of Ba3TaAu.

As for the energy above the lowest structure with this stoichiometry: 0 meV/atom. The total moment comes out at 4.20 μB/cell. The density of states at the Fermi level is 8.0 states/eV/cell.

a b c (Å): 6.2356 6.2356 6.2356
angles (deg): 90.00 90.00 90.00
Space group Pm-3m (No. 221)
One atom of each set of equivalent atoms:
Ba 0.0000 0.0000 0.5000 [3 per cell]
Ta 0.5000 0.5000 0.5000 [1 per cell]
Au 0.0000 0.0000 0.0000 [1 per cell]


Record 9
VASP calculation (PBE) on a relaxed structure of La2CeZn2Sn2.

For the electronic total energy, the calculation gives -4.14 eV/atom. The total moment comes out at 1.14 μB/cell. The density of states at the Fermi level is 28.0 states/eV/cell.

a b c (Å): 4.6813 4.6813 30.0462
angles (deg): 90.00 90.00 120.00
Space group R-3m (No. 166, hexagonal axes)
One atom of each set of equivalent atoms:
La 0.0000 0.0000 0.1290 [6 per cell]
Ce 0.0000 0.0000 0.0000 [3 per cell]
Zn 0.0000 0.0000 0.3867 [6 per cell]
Sn 0.0000 0.0000 0.2642 [6 per cell]


Record 10
VASP calculation (PBE) on a relaxed structure of Ca2MnGaSe5.

For the raw formation energy, the calculation gives -1.126 eV per atom. The total moment comes out at 15.99 μB/cell. The density of states at the Fermi level is 6.3 states/eV/cell.

a b c (Å): 3.8937 18.0381 12.4949
angles (deg): 90.00 90.00 90.00
Space group Cmc2_1 (No. 36)
One atom of each set of equivalent atoms:
Ca 0.0000 0.1000 0.0000 [4 per cell]
Ca 0.0000 0.1229 0.6569 [4 per cell]
Mn 0.0000 0.2298 0.3961 [4 per cell]
Ga 0.0000 0.4265 0.7955 [4 per cell]
Se 0.0000 0.0567 0.4120 [4 per cell]
Se 0.0000 0.2673 0.0338 [4 per cell]
Se 0.0000 0.2921 0.7647 [4 per cell]
Se 0.0000 0.3672 0.3377 [4 per cell]
Se 0.0000 0.4900 0.6278 [4 per cell]


Record 11
VASP calculation (PBE) on a relaxed structure of BaIrPbI2.

For the raw formation energy, the calculation gives 0.543 eV per atom. The total moment comes out at 0.68 μB/cell. The density of states at the Fermi level is 7.6 states/eV/cell.

a b c (Å): 6.5113 6.5113 5.4632
angles (deg): 90.00 90.00 90.00
Space group P4/mmm (No. 123)
One atom of each set of equivalent atoms:
Ba 0.0000 0.0000 0.0000 [1 per cell]
Ir 0.0000 0.0000 0.5000 [1 per cell]
Pb 0.5000 0.5000 0.5000 [1 per cell]
I 0.0000 0.5000 0.0000 [2 per cell]


Record 12
VASP calculation (PBE) on a relaxed structure of Pd5Pt4Au.

As for the energy above the lowest structure with this stoichiometry: 246 meV/atom. The total moment comes out at 0.01 μB/cell. The density of states at the Fermi level is 43.7 states/eV/cell.

a b c (Å): 8.1924 9.1080 4.7613
angles (deg): 90.00 90.00 90.00
Space group Pmmn (No. 59, origin choice 2)
One atom of each set of equivalent atoms:
Pd 0.0817 0.0034 0.2463 [8 per cell]
Pd 0.2500 0.7500 0.0839 [2 per cell]
Pt 0.0815 0.7500 0.5832 [4 per cell]
Pt 0.2500 0.5049 0.7545 [4 per cell]
Au 0.2500 0.2500 0.4753 [2 per cell]


Question: What is the total moment in the eighth record?
Answer: 4.20 μB/cell


Question: Which value of total moment does entry 3 give?
Answer: 0.00 μB/cell


Question: Which of these has the highest total moment?
Answer: Ca2MnGaSe5